Entry 1:
BaHfCu2Ag: optimized geometry, PBE.

abc: 4.934 5.644 4.934
angles: 90.00 90.00 90.00
Site moments in Bohr magnetons follow the coordinates.
Fractional coordinates of all 5 atoms:
Cu 0.000 0.000 0.500  -0.01
Cu 0.500 0.000 0.000  0.00
Hf 0.500 0.500 0.500  0.66
Ba 0.000 0.500 0.000  0.09
Ag 0.000 0.000 0.000  0.01

Summary:
DFT total energy: -3.495 eV/atom
Crystal system: tetragonal

Entry 2:
Ac5Rh3Pb3: optimized geometry, PBE.

abc: 4.277 9.924 9.924
angles: 120.00 90.00 90.00
Fractional coordinates of all 11 atoms:
Ac 0.500 0.333 0.667
Ac 0.500 0.667 0.333
Ac 0.500 0.240 0.240
Ac 0.500 0.000 0.760
Ac 0.500 0.760 0.000
Rh 0.500 0.696 0.696
Rh 0.500 0.000 0.304
Rh 0.500 0.304 0.000
Pb 0.000 0.522 0.522
Pb 0.000 0.478 0.000
Pb 0.000 0.000 0.478

Summary:
DFT total energy: -5.229 eV/atom
Crystal system: hexagonal

Entry 3:
TbCd3Ag3: optimized geometry, PBE.

abc: 7.443 7.443 7.443
angles: 90.00 90.00 90.00
Fractional coordinates of all 14 atoms:
Tb 0.500 0.500 0.500
Tb 0.000 0.000 0.000
Ag 0.000 0.250 0.500
Ag 0.000 0.750 0.500
Ag 0.500 0.000 0.750
Ag 0.750 0.500 0.000
Ag 0.500 0.000 0.250
Ag 0.250 0.500 0.000
Cd 0.250 0.000 0.500
Cd 0.000 0.500 0.250
Cd 0.500 0.750 0.000
Cd 0.750 0.000 0.500
Cd 0.000 0.500 0.750
Cd 0.500 0.250 0.000

Summary:
Energy relative to the lowest polymorph listed for this composition: 614 meV per atom
DFT total energy: -1.801 eV/atom
Crystal system: cubic

Entry 4:
BaTi5O11: optimized geometry, PBE.

abc: 7.630 7.740 14.237
angles: 90.00 90.00 98.36
Fractional coordinates of all 68 atoms:
Ba 0.701 0.738 0.582
Ba 0.799 0.762 0.082
Ba 0.299 0.262 0.418
Ba 0.201 0.238 0.918
Ti 0.253 0.728 0.490
Ti 0.247 0.772 0.990
Ti 0.747 0.272 0.510
Ti 0.753 0.228 0.010
Ti 0.745 0.447 0.840
Ti 0.755 0.053 0.340
Ti 0.255 0.553 0.160
Ti 0.245 0.947 0.660
Ti 0.578 0.070 0.824
Ti 0.922 0.430 0.324
Ti 0.422 0.930 0.176
Ti 0.078 0.570 0.676
Ti 0.867 0.845 0.840
Ti 0.633 0.655 0.340
Ti 0.133 0.155 0.160
Ti 0.367 0.345 0.660
Ti 0.451 0.689 0.823
Ti 0.049 0.811 0.323
Ti 0.549 0.311 0.177
Ti 0.951 0.189 0.677
O 0.041 0.828 0.928
O 0.459 0.672 0.428
O 0.959 0.172 0.072
O 0.541 0.328 0.572
O 0.679 0.659 0.896
O 0.821 0.841 0.396
O 0.321 0.341 0.104
O 0.179 0.159 0.604
O 0.413 0.914 0.902
O 0.087 0.586 0.402
O 0.587 0.086 0.098
O 0.913 0.414 0.598
O 0.777 0.024 0.913
O 0.723 0.476 0.413
O 0.223 0.976 0.087
O 0.277 0.524 0.587
O 0.571 0.271 0.909
O 0.899 0.392 0.926
O 0.101 0.608 0.074
O 0.399 0.892 0.574
O 0.304 0.585 0.917
O 0.196 0.915 0.417
O 0.696 0.415 0.083
O 0.804 0.085 0.583
O 0.003 0.994 0.748
O 0.497 0.506 0.248
O 0.997 0.006 0.252
O 0.503 0.494 0.752
O 0.392 0.124 0.741
O 0.108 0.376 0.241
O 0.608 0.876 0.259
O 0.892 0.624 0.759
O 0.763 0.242 0.759
O 0.737 0.258 0.259
O 0.237 0.758 0.241
O 0.263 0.742 0.741
O 0.135 0.370 0.739
O 0.365 0.130 0.239
O 0.865 0.630 0.261
O 0.635 0.870 0.761
O 0.071 0.771 0.591
O 0.429 0.729 0.091
O 0.929 0.229 0.409
O 0.601 0.108 0.426

Summary:
Formation energy (no corrections): -3.06 eV/atom
DFT total energy: -8.704 eV/atom
Crystal system: monoclinic

Entry 5:
Pu3U2PaP6: optimized geometry, PBE.

abc: 6.847 6.847 6.902
angles: 99.52 99.52 120.00
Site moments in Bohr magnetons follow the coordinates.
Fractional coordinates of all 12 atoms:
Pu 0.166 0.834 0.500  -5.00
Pu 0.834 0.166 0.500  -5.00
Pu 0.500 0.500 0.500  -5.00
U 0.333 0.667 0.000  1.58
U 0.667 0.333 0.000  1.58
Pa 0.000 0.000 0.000  -0.10
P 0.918 0.582 0.754  0.04
P 0.746 0.746 0.246  0.03
P 0.082 0.418 0.246  0.04
P 0.582 0.918 0.754  0.04
P 0.254 0.254 0.754  0.03
P 0.418 0.082 0.246  0.04

Summary:
DFT total energy: -10.080 eV/atom
Crystal system: monoclinic

Entry 6:
CdSbTe2: optimized geometry, PBE.

abc: 4.425 4.425 6.174
angles: 90.00 90.00 90.00
Fractional coordinates of all 4 atoms:
Sb 0.500 0.500 0.875
Te 0.000 0.000 0.875
Te 0.500 0.500 0.375
Cd 0.000 0.000 0.376

Summary:
Formation energy (no corrections): -0.16 eV/atom
Energy relative to the lowest polymorph listed for this composition: 0 meV per atom
DFT total energy: -2.989 eV/atom
Crystal system: tetragonal

Entry 7:
Mg2NiGe2: optimized geometry, PBE.

abc: 5.474 5.963 6.962
angles: 115.36 113.15 90.00
Fractional coordinates of all 10 atoms:
Mg 0.885 0.711 0.769
Mg 0.115 0.289 0.231
Mg 0.615 0.942 0.231
Mg 0.385 0.058 0.769
Ni 0.750 0.500 0.000
Ni 0.250 0.500 0.000
Ge 0.360 0.551 0.719
Ge 0.640 0.449 0.281
Ge 0.140 0.832 0.281
Ge 0.860 0.168 0.719

Summary:
DFT total energy: -3.837 eV/atom
Crystal system: orthorhombic

Entry 8:
CsK2Re: optimized geometry, PBE.

abc: 6.373 6.373 6.373
angles: 60.00 60.00 60.00
Site moments in Bohr magnetons follow the coordinates.
Fractional coordinates of all 4 atoms:
Cs 0.000 0.000 0.000  -0.01
Re 0.500 0.500 0.500  3.15
K 0.250 0.250 0.250  0.00
K 0.750 0.750 0.750  0.00

Summary:
DFT total energy: -2.343 eV/atom
Crystal system: cubic